Record 1
The following is a DFT calculation (PBE) of a relaxed Ba2ZrPt crystal.

```
8
Lattice="11.8473 0.0000 0.0000 0.0000 11.8473 0.0000 5.9237 5.9237 2.5672" Properties=species:S:1:pos:R:3 pbc="T T T"
Zr 5.9237 5.9237 0.0000
Zr 5.9237 11.8473 1.2836
Ba 10.7196 2.9618 0.6418
Ba 12.9751 8.8855 0.6418
Ba 8.8855 7.0514 1.9254
Ba 14.8092 4.7959 1.9254
Pt 0.0000 0.0000 0.0000
Pt 11.8473 5.9237 1.2836
```

Summary:
Calculated formation energy ... 41 meV per atom
Raw total energy ... -4.567 eV per atom
Relative energy among the computed polymorphs ... 300 meV per atom


Record 2
The following is a DFT calculation (PBE) of a relaxed Ba2ZrPt crystal.

```
4
Lattice="8.0922 -0.0050 -0.0137 -3.1505 4.8104 0.0257 1.7911 1.1543 3.1442" Properties=species:S:1:pos:R:3 pbc="T T T"
Ba 0.0000 0.0000 0.0000
Ba 4.9416 0.5746 1.5653
Pt -0.6797 2.9823 1.5850
Zr 2.4708 2.4027 0.0060
```

Summary:
Calculated formation energy ... 299 meV per atom
Raw total energy ... -4.310 eV per atom
Relative energy among the computed polymorphs ... 557 meV per atom


Record 3
The following is a DFT calculation (PBE) of a relaxed BaZrPt2 crystal.

```
4
Lattice="-0.7271 -2.7507 1.5143 -1.5804 -2.1228 -4.6147 4.9358 -1.7835 -0.8699" Properties=species:S:1:pos:R:3 pbc="T T T"
Ba 2.1043 -2.2671 0.3222
Pt 0.0000 0.0000 0.0000
Pt 1.6777 -1.9532 -2.7423
Zr -1.1537 -2.4368 -1.5502
```

Summary:
Calculated formation energy ... -456 meV per atom
Raw total energy ... -6.094 eV per atom
Relative energy among the computed polymorphs ... 359 meV per atom


Record 4
The following is a DFT calculation (PBE) of a relaxed Ba2ZrPt crystal.

```
4
Lattice="-7.1301 2.9604 6.4616 -9.5969 -0.5761 2.9873 9.1382 -3.0986 -2.8721" Properties=species:S:1:pos:R:3 pbc="T T T"
Ba -1.6568 0.2362 0.9359
Ba -6.7067 0.9560 3.7885
Pt -4.4111 -1.2412 2.4198
Zr -3.1777 0.5270 4.1570
```

Summary:
Calculated formation energy ... -210 meV per atom
Raw total energy ... -4.818 eV per atom
Relative energy among the computed polymorphs ... 48 meV per atom


Record 5
The following is a DFT calculation (PBE) of a relaxed BaZrPt2 crystal.

```
4
Lattice="-2.2547 0.8936 3.5300 0.1070 -3.6282 0.9868 5.6577 -0.7591 3.8059" Properties=species:S:1:pos:R:3 pbc="T T T"
Ba 3.5343 -3.0100 5.6176
Pt 0.2480 -0.6368 0.3196
Pt 0.6738 0.1004 3.0032
Zr 1.9364 -2.1409 1.7788
```

Summary:
Calculated formation energy ... -616 meV per atom
Raw total energy ... -6.254 eV per atom
Relative energy among the computed polymorphs ... 199 meV per atom


Record 6
The following is a DFT calculation (PBE) of a relaxed Ba2ZrPt crystal.

```
4
Lattice="5.6356 0.0000 0.0000 0.0000 5.6356 0.0000 0.0000 0.0000 3.8665" Properties=species:S:1:pos:R:3 pbc="T T T"
Ba 0.0000 0.0000 0.0000
Ba 2.8178 2.8178 0.0000
Pt 2.8178 0.0000 1.9333
Zr 0.0000 2.8178 1.9333
```

Summary:
Calculated formation energy ... 301 meV per atom
Raw total energy ... -4.308 eV per atom
Relative energy among the computed polymorphs ... 559 meV per atom